1.
Material: BePbCl2
Method: DFT, SCAN
State: single point on PBEsol structure

The structure in extended XYZ format:
```
4
Lattice="-4.9281 0.4569 -0.3159 -2.4776 -2.3117 -3.6211 -2.9219 -3.8620 1.0686" Properties=species:S:1:pos:R:3 pbc="T T T"
Cl -7.7456 -4.2876 -2.1512
Pb -2.5819 -1.4292 -0.7171
Cl 0.0000 0.0000 0.0000
Be -5.1638 -2.8584 -1.4342
```

* formation energy from raw total energies: 166 meV per atom
* SG: No. 216
* density: 5.53 g cm⁻³

2.
Material: Be2PbCl
Method: DFT, SCAN
State: single point on PBEsol structure

The structure in extended XYZ format:
```
4
Lattice="-1.2570 4.0460 -1.8958 -3.4883 0.1456 -3.0586 -4.0394 1.9596 1.1782" Properties=species:S:1:pos:R:3 pbc="T T T"
Cl 0.0000 0.0000 0.0000
Be -2.1961 1.5378 -0.9441
Pb -4.3923 3.0756 -1.8881
Be -6.5884 4.6134 -2.8322
```

* formation energy from raw total energies: 882 meV per atom
* SG: No. 225
* energy above the lowest structure with this stoichiometry: 729.8 meV/atom
* density: 6.12 g cm⁻³